Entry from Alexandria: ZrAl2Ga3 after structural relaxation (GGA-PBE).

Lattice parameters (Å, degrees): 6.0501 6.0501 6.2973 82.54 82.54 101.98
Fractional positions:
Al1 0.6231 0.0918 0.6505
Al2 0.0918 0.6231 0.1505
Al3 0.3769 0.9082 0.3495
Al4 0.9082 0.3769 0.8495
Ga1 0.3491 0.6509 0.7500
Ga2 0.2492 0.3669 0.4582
Ga3 0.6331 0.7508 0.0418
Ga4 0.7508 0.6331 0.5418
Ga5 0.3669 0.2492 0.9582
Ga6 0.6509 0.3491 0.2500
Zr1 0.9467 0.0533 0.2500
Zr2 0.0533 0.9467 0.7500

## Properties
Raw total energy ... -4.34 eV per atom
Magnetic moment ... 0.0000 μB per atom
Symmetry ... No. 15
Distance to the lowest polymorph of the same formula ... 90 meV/atom

Entry from Alexandria: Mg14ZnSi after structural relaxation (GGA-PBE).

Lattice parameters (Å, degrees): 6.2990 6.2990 9.9835 90.00 90.00 120.00
Fractional positions:
Mg1 0.6739 0.8369 0.2538
Mg2 0.1631 0.8369 0.2538
Mg3 0.5008 0.0017 0.5000
Mg4 0.5008 0.4992 0.5000
Mg5 0.1631 0.3261 0.7462
Mg6 0.4997 0.5003 0.0000
Mg7 0.6667 0.3333 0.2515
Mg8 0.1631 0.3261 0.2538
Mg9 0.0006 0.5003 0.0000
Mg10 0.4997 0.9994 0.0000
Mg11 0.9983 0.4992 0.5000
Mg12 0.6739 0.8369 0.7462
Mg13 0.1631 0.8369 0.7462
Mg14 0.6667 0.3333 0.7485
Zn1 0.0000 0.0000 0.0000
Si1 0.0000 0.0000 0.5000

## Properties
Raw total energy ... -1.79 eV per atom
Magnetic moment ... 0.0000 μB per atom
Symmetry ... No. 187
Formation energy without anion corrections ... 0.019 eV/atom

Entry from Alexandria: I2Br after structural relaxation (GGA-PBE).

Lattice parameters (Å, degrees): 5.5842 6.1807 10.1862 75.92 81.79 87.05
Fractional positions:
Br1 0.2418 0.6151 0.8322
Br2 0.6218 0.8298 0.1093
I1 0.0138 0.4660 0.6498
I2 0.7475 0.3173 0.4635
I3 0.0904 0.2656 0.2340
I4 0.4306 0.2024 0.9880

## Properties
Raw total energy ... -1.62 eV per atom
Magnetic moment ... 0.0000 μB per atom
Symmetry ... No. 1
Distance to the lowest polymorph of the same formula ... 11 meV/atom
Formation energy without anion corrections ... -0.027 eV/atom

Entry from Alexandria: Ba2AlAu after structural relaxation (GGA-PBE).

Lattice parameters (Å, degrees): 4.5755 4.5755 9.3100 75.88 75.88 59.82
Fractional positions:
Al1 0.7500 0.7500 0.7500
Ba1 0.5058 0.5058 0.4827
Ba2 0.9942 0.9942 0.0173
Au1 0.2500 0.2500 0.2500

## Properties
Raw total energy ... -2.92 eV per atom
Magnetic moment ... 0.0001 μB per atom
Symmetry ... No. 12

Entry from Alexandria: RhSBrCl2 after structural relaxation (GGA-PBE).

Lattice parameters (Å, degrees): 4.8664 4.8664 4.5652 90.00 90.00 90.00
Fractional positions:
Rh1 0.0000 0.0000 0.0000
S1 0.0000 0.0000 0.5000
Cl1 0.5000 0.0000 0.0000
Cl2 0.0000 0.5000 0.0000
Br1 0.5000 0.5000 0.5000

## Properties
Raw total energy ... -3.19 eV per atom
Magnetic moment ... 0.0000 μB per atom
Symmetry ... No. 123
Distance to the lowest polymorph of the same formula ... 0 meV/atom
Formation energy without anion corrections ... 0.175 eV/atom

Entry from Alexandria: SrPm2TmSe4 after structural relaxation (GGA-PBE).

Lattice parameters (Å, degrees): 4.1669 7.3286 7.2608 71.08 90.00 90.00
Fractional positions:
Se1 0.0000 0.7490 0.7385
Se2 0.5000 0.2598 0.7362
Se3 0.0000 0.2510 0.2615
Se4 0.5000 0.7402 0.2638
Pm1 0.0000 0.0000 0.0000
Pm2 0.5000 0.0000 0.5000
Sr1 0.5000 0.5000 0.0000
Tm1 0.0000 0.5000 0.5000

## Properties
Raw total energy ... -5.51 eV per atom
Magnetic moment ... 0.0000 μB per atom
Symmetry ... No. 10
Formation energy without anion corrections ... -1.812 eV/atom

Entry from Alexandria: Sm4Te5H after structural relaxation (GGA-PBE).

Lattice parameters (Å, degrees): 4.2280 7.8057 11.8536 123.67 100.27 90.00
Fractional positions:
Sm1 0.9752 0.1793 0.9505
Sm2 0.7230 0.2214 0.4461
Sm3 0.2770 0.7786 0.5539
Sm4 0.0248 0.8207 0.0495
Te1 0.5000 0.5000 0.0000
Te2 0.8587 0.6802 0.7174
Te3 0.1655 0.8751 0.3309
Te4 0.1413 0.3198 0.2826
Te5 0.8345 0.1249 0.6691
H1 0.5000 0.0000 0.0000

## Properties
Raw total energy ... -4.90 eV per atom
Magnetic moment ... 0.0000 μB per atom
Symmetry ... No. 12

Entry from Alexandria: Sr3MgTa after structural relaxation (GGA-PBE).

Lattice parameters (Å, degrees): 5.9732 5.9732 5.9732 90.00 90.00 90.00
Fractional positions:
Sr1 0.5000 0.0000 0.0000
Sr2 0.0000 0.5000 0.0000
Sr3 0.0000 0.0000 0.5000
Mg1 0.5000 0.5000 0.5000
Ta1 0.0000 0.0000 0.0000

## Properties
Raw total energy ... -2.73 eV per atom
Magnetic moment ... 0.0000 μB per atom
Symmetry ... No. 221
Distance to the lowest polymorph of the same formula ... 0 meV/atom

Entry from Alexandria: Ce2NdAl after structural relaxation (GGA-PBE).

Lattice parameters (Å, degrees): 5.3769 5.3769 5.3769 60.00 60.00 60.00
Site moments in Bohr magnetons follow the coordinates.
Fractional positions:
Ce1 0.7500 0.7500 0.7500  0.43
Ce2 0.2500 0.2500 0.2500  0.43
Al1 0.5000 0.5000 0.5000  0.00
Nd1 0.0000 0.0000 0.0000  0.13

## Properties
Raw total energy ... -5.04 eV per atom
Magnetic moment ... 0.3043 μB per atom
Symmetry ... No. 225
Distance to the lowest polymorph of the same formula ... 184 meV/atom

Entry from Alexandria: Dy5Mg4Au after structural relaxation (GGA-PBE).

Lattice parameters (Å, degrees): 3.7385 3.7385 18.7227 90.00 90.00 90.00
Fractional positions:
Au1 0.0000 0.0000 0.0000
Dy1 0.5000 0.5000 0.7060
Dy2 0.5000 0.5000 0.2940
Dy3 0.5000 0.5000 0.9092
Dy4 0.5000 0.5000 0.0908
Dy5 0.5000 0.5000 0.5000
Mg1 0.0000 0.0000 0.3969
Mg2 0.0000 0.0000 0.8049
Mg3 0.0000 0.0000 0.6031
Mg4 0.0000 0.0000 0.1951

## Properties
Raw total energy ... -3.50 eV per atom
Magnetic moment ... 0.0000 μB per atom
Symmetry ... No. 123

Entry from Alexandria: LiPb after structural relaxation (GGA-PBE).

Lattice parameters (Å, degrees): 9.5541 9.5541 4.7122 90.00 90.00 90.00
Fractional positions:
Li1 0.6926 0.0000 0.0000
Li2 0.3074 0.0000 0.0000
Li3 0.1926 0.5000 0.5000
Li4 0.5000 0.8074 0.5000
Li5 0.0000 0.3074 0.0000
Li6 0.8074 0.5000 0.5000
Li7 0.5000 0.1926 0.5000
Li8 0.0000 0.6926 0.0000
Pb1 0.3292 0.3292 0.0000
Pb2 0.6708 0.6708 0.0000
Pb3 0.3292 0.6708 0.0000
Pb4 0.8292 0.8292 0.5000
Pb5 0.6708 0.3292 0.0000
Pb6 0.8292 0.1708 0.5000
Pb7 0.1708 0.8292 0.5000
Pb8 0.1708 0.1708 0.5000

## Properties
Raw total energy ... -2.94 eV per atom
Magnetic moment ... 0.0000 μB per atom
Symmetry ... No. 139

Entry from Alexandria: NbPdS4 after structural relaxation (GGA-PBE).

Lattice parameters (Å, degrees): 5.6734 5.8012 8.0337 112.29 111.83 87.03
Fractional positions:
S1 0.6112 0.8299 0.1029
S2 0.0083 0.7270 0.8971
S3 0.6749 0.5240 0.4016
S4 0.2267 0.8776 0.4016
S5 0.3251 0.4760 0.5984
S6 0.9917 0.2730 0.1029
S7 0.3888 0.1701 0.8971
S8 0.7733 0.1224 0.5984
Pd1 0.0659 0.8159 0.6318
Pd2 0.9341 0.1841 0.3682
Nb1 0.3090 0.5590 0.1180
Nb2 0.6910 0.4410 0.8820

## Properties
Raw total energy ... -5.69 eV per atom
Magnetic moment ... 0.0000 μB per atom
Symmetry ... No. 15
Formation energy without anion corrections ... -0.397 eV/atom